{"formula": "Tb11Ag9Pd4", "functional": "PBE", "state": "optimized geometry", "e_tot_ev_per_atom": -4.55, "total_magnetization_mub_per_atom": 0.0000, "lattice": [[-1.949, 2.140, -2.229], [-7.744, -9.910, -2.744], [-4.139, 6.782, 10.128]], "species": ["Pd", "Pd", "Pd", "Pd", "Ag", "Ag", "Ag", "Ag", "Ag", "Ag", "Ag", "Ag", "Ag", "Tb", "Tb", "Tb", "Tb", "Tb", "Tb", "Tb", "Tb", "Tb", "Tb", "Tb"], "fractional_positions": [[0.500, 0.551, 0.746], [0.500, 0.746, 0.551], [0.500, 0.254, 0.449], [0.500, 0.449, 0.254], [0.500, 0.153, 0.630], [0.500, 0.500, 0.500], [0.500, 0.847, 0.370], [0.500, 0.942, 0.790], [0.500, 0.790, 0.942], [0.500, 0.630, 0.153], [0.500, 0.370, 0.847], [0.500, 0.210, 0.058], [0.500, 0.058, 0.210], [0.000, 0.928, 0.587], [0.000, 0.072, 0.413], [0.000, 0.636, 0.364], [0.000, 0.413, 0.072], [0.000, 0.832, 0.168], [0.000, 0.587, 0.928], [0.000, 0.364, 0.636], [0.000, 0.712, 0.712], [0.000, 0.288, 0.288], [0.000, 0.000, 0.000], [0.000, 0.168, 0.832]]}

=====

{"formula": "Tb8AgPd2", "functional": "PBE", "state": "optimized geometry", "e_tot_ev_per_atom": -4.82, "polymorph_energy_ev_per_fu": 1.11, "total_magnetization_mub_per_atom": 0.0000, "lattice": [[-2.542, -0.093, 5.018], [-6.353, 1.516, -4.557], [2.618, -7.519, -0.180]], "species": ["Pd", "Pd", "Tb", "Tb", "Tb", "Tb", "Tb", "Tb", "Tb", "Tb", "Ag"], "fractional_positions": [[0.500, 0.702, 0.304], [0.500, 0.304, 0.702], [0.812, 0.620, 0.620], [0.591, 0.088, 0.335], [0.409, 0.919, 0.671], [0.188, 0.386, 0.386], [0.591, 0.335, 0.088], [0.000, 0.237, 0.769], [0.000, 0.769, 0.237], [0.409, 0.671, 0.919], [0.000, 0.003, 0.003]]}

=====

{"formula": "Tb3Ag2Pd", "functional": "PBE", "state": "optimized geometry", "e_tot_ev_per_atom": -4.63, "polymorph_energy_ev_per_fu": 0.00, "total_magnetization_mub_per_atom": 0.0000, "lattice": [[3.599, 0.000, 0.000], [0.000, 3.599, 0.000], [0.000, 0.000, 10.908]], "species": ["Tb", "Tb", "Tb", "Ag", "Ag", "Pd"], "fractional_positions": [[0.000, 0.000, 0.000], [0.000, 0.000, 0.657], [0.000, 0.000, 0.343], [0.500, 0.500, 0.169], [0.500, 0.500, 0.831], [0.500, 0.500, 0.500]]}

=====

{"formula": "TbAgPd", "functional": "PBE", "state": "optimized geometry", "e_tot_ev_per_atom": -4.73, "polymorph_energy_ev_per_fu": 0.25, "total_magnetization_mub_per_atom": 0.0000, "lattice": [[-1.534, 3.029, 0.309], [-1.723, -1.294, 4.126], [4.137, 2.119, -0.233]], "species": ["Ag", "Tb", "Pd"], "fractional_positions": [[0.167, 0.000, 0.000], [0.667, 0.667, 0.333], [0.167, 0.333, 0.667]]}

=====

{"formula": "Tb8AgPd2", "functional": "PBE", "state": "optimized geometry", "e_tot_ev_per_atom": -4.92, "polymorph_energy_ev_per_fu": 0.00, "total_magnetization_mub_per_atom": 0.0000, "lattice": [[-2.419, 1.699, 4.196], [4.464, -3.335, 3.924], [4.567, 7.373, -3.492]], "species": ["Pd", "Pd", "Tb", "Tb", "Tb", "Tb", "Tb", "Tb", "Tb", "Tb", "Ag"], "fractional_positions": [[0.822, 0.268, 0.644], [0.178, 0.732, 0.356], [0.799, 0.664, 0.598], [0.407, 0.528, 0.813], [0.327, 0.008, 0.653], [0.031, 0.778, 0.062], [0.593, 0.472, 0.187], [0.969, 0.222, 0.938], [0.201, 0.336, 0.402], [0.673, 0.992, 0.347], [0.500, 0.000, 0.000]]}

=====

{"formula": "Tb7Ag2Pd2", "functional": "PBE", "state": "optimized geometry", "e_tot_ev_per_atom": -4.65, "total_magnetization_mub_per_atom": 0.0000, "lattice": [[-6.085, -0.359, 2.926], [3.147, -0.939, 6.430], [2.020, 6.452, -0.046]], "species": ["Pd", "Pd", "Tb", "Tb", "Tb", "Tb", "Tb", "Tb", "Tb", "Ag", "Ag"], "fractional_positions": [[0.711, 0.000, 0.289], [0.289, 0.000, 0.711], [0.000, 0.262, 0.500], [0.000, 0.000, 0.000], [0.500, 0.256, 0.500], [0.000, 0.738, 0.500], [0.500, 0.738, 0.000], [0.500, 0.262, 0.000], [0.500, 0.744, 0.500], [0.821, 0.500, 0.821], [0.179, 0.500, 0.179]]}

=====

{"formula": "TbAgPd4", "functional": "PBE", "state": "optimized geometry", "e_tot_ev_per_atom": -5.24, "polymorph_energy_ev_per_fu": 0.00, "total_magnetization_mub_per_atom": 0.0000, "lattice": [[-3.138, -3.567, -2.454], [-3.460, -2.921, 2.844], [-5.252, 0.908, -0.430]], "species": ["Pd", "Pd", "Pd", "Pd", "Tb", "Ag"], "fractional_positions": [[0.625, 0.625, 0.625], [0.124, 0.625, 0.625], [0.625, 0.625, 0.124], [0.625, 0.124, 0.625], [0.250, 0.250, 0.250], [0.000, 0.000, 0.000]]}

=====

{"formula": "Tb2AgPd4", "functional": "PBE", "state": "optimized geometry", "e_tot_ev_per_atom": -5.32, "total_magnetization_mub_per_atom": 0.0000, "lattice": [[4.027, 0.000, 0.000], [0.000, 4.027, 0.000], [-2.013, -2.013, 9.105]], "species": ["Tb", "Tb", "Ag", "Pd", "Pd", "Pd", "Pd"], "fractional_positions": [[0.621, 0.621, 0.242], [0.379, 0.379, 0.758], [0.000, 0.000, 0.000], [0.750, 0.250, 0.500], [0.250, 0.750, 0.500], [0.854, 0.854, 0.708], [0.146, 0.146, 0.292]]}

=====

{"formula": "Tb3Ag2Pd", "functional": "PBE", "state": "optimized geometry", "e_tot_ev_per_atom": -4.62, "polymorph_energy_ev_per_fu": 0.04, "total_magnetization_mub_per_atom": 0.0000, "lattice": [[-2.220, -3.392, -3.094], [4.673, -0.898, 1.834], [-2.497, -2.882, 4.952]], "species": ["Tb", "Tb", "Tb", "Ag", "Ag", "Pd"], "fractional_positions": [[0.000, 0.000, 0.500], [0.667, 0.333, 0.846], [0.333, 0.667, 0.154], [0.333, 0.667, 0.652], [0.667, 0.333, 0.348], [0.000, 0.000, 0.000]]}

=====

{"formula": "TbThAgPd", "functional": "PBE", "state": "optimized geometry", "e_tot_ev_per_atom": -5.45, "total_magnetization_mub_per_atom": 0.0000, "lattice": [[5.154, 0.000, 0.000], [2.577, 4.463, 0.000], [2.577, 1.488, 4.208]], "species": ["Ag", "Th", "Tb", "Pd"], "fractional_positions": [[0.250, 0.250, 0.250], [0.500, 0.500, 0.500], [0.000, 0.000, 0.000], [0.750, 0.750, 0.750]]}

=====

{"formula": "Tb4TlAg2Pd", "functional": "PBE", "state": "optimized geometry", "e_tot_ev_per_atom": -4.44, "total_magnetization_mub_per_atom": 0.0000, "lattice": [[-0.542, 0.853, -5.082], [-4.285, -1.577, -2.449], [-5.268, 7.164, -0.877]], "species": ["Tb", "Tb", "Tb", "Tb", "Ag", "Ag", "Tl", "Pd"], "fractional_positions": [[0.618, 0.618, 0.147], [0.382, 0.382, 0.853], [0.869, 0.869, 0.392], [0.131, 0.131, 0.608], [0.744, 0.744, 0.767], [0.256, 0.256, 0.233], [0.000, 0.000, 0.000], [0.500, 0.500, 0.500]]}

=====

{"formula": "TbTmAgPd", "functional": "PBE", "state": "optimized geometry", "e_tot_ev_per_atom": -4.90, "polymorph_energy_ev_per_fu": 0.00, "total_magnetization_mub_per_atom": 0.0000, "lattice": [[3.544, 0.000, 0.000], [0.000, 3.544, 0.000], [0.000, 0.000, 7.179]], "species": ["Ag", "Pd", "Tm", "Tb"], "fractional_positions": [[0.000, 0.000, 0.848], [0.000, 0.000, 0.366], [0.500, 0.500, 0.596], [0.500, 0.500, 0.117]]}

=====

{"formula": "TbTmAgPd", "functional": "PBE", "state": "optimized geometry", "e_tot_ev_per_atom": -4.89, "polymorph_energy_ev_per_fu": 0.05, "total_magnetization_mub_per_atom": 0.0000, "lattice": [[-4.375, 1.624, 1.868], [-2.894, -3.109, 2.688], [-0.515, 0.697, 4.951]], "species": ["Ag", "Pd", "Tb", "Tm"], "fractional_positions": [[0.250, 0.250, 0.250], [0.750, 0.750, 0.750], [0.000, 0.000, 0.000], [0.500, 0.500, 0.500]]}

=====

{"formula": "Tb2Zn2AgPd5", "functional": "PBE", "state": "optimized geometry", "e_tot_ev_per_atom": -4.69, "total_magnetization_mub_per_atom": 0.0000, "lattice": [[3.856, 0.000, 0.000], [0.000, 9.615, 0.000], [0.000, 0.000, 9.615]], "species": ["Pd", "Pd", "Pd", "Pd", "Pd", "Pd", "Pd", "Pd", "Pd", "Pd", "Tb", "Tb", "Tb", "Tb", "Zn", "Zn", "Zn", "Zn", "Ag", "Ag"], "fractional_positions": [[0.500, 0.431, 0.294], [0.500, 0.000, 0.500], [0.500, 0.706, 0.431], [0.500, 0.069, 0.794], [0.500, 0.794, 0.931], [0.500, 0.294, 0.569], [0.500, 0.206, 0.069], [0.500, 0.500, 0.000], [0.500, 0.569, 0.706], [0.500, 0.931, 0.206], [0.000, 0.321, 0.821], [0.000, 0.679, 0.179], [0.000, 0.821, 0.679], [0.000, 0.179, 0.321], [0.000, 0.881, 0.381], [0.000, 0.381, 0.119], [0.000, 0.619, 0.881], [0.000, 0.119, 0.619], [0.000, 0.500, 0.500], [0.000, 0.000, 0.000]]}

=====

{"formula": "TcAg3Pd12", "functional": "PBE", "state": "optimized geometry", "e_tot_ev_per_atom": -5.06, "total_magnetization_mub_per_atom": 0.1122, "lattice": [[-3.048, 1.808, 1.804], [-2.176, -3.309, -0.360], [5.355, -5.055, 14.117]], "species": ["Ag", "Ag", "Ag", "Pd", "Pd", "Pd", "Pd", "Pd", "Pd", "Pd", "Pd", "Pd", "Pd", "Pd", "Pd", "Tc"], "fractional_positions": [[0.000, 0.000, 0.247], [0.000, 0.000, 0.500], [0.000, 0.000, 0.753], [0.500, 0.500, 0.753], [0.500, 0.000, 0.882], [0.500, 0.000, 0.118], [0.000, 0.500, 0.374], [0.000, 0.500, 0.882], [0.500, 0.500, 0.247], [0.500, 0.500, 0.500], [0.000, 0.500, 0.626], [0.500, 0.500, 0.000], [0.500, 0.000, 0.374], [0.500, 0.000, 0.626], [0.000, 0.500, 0.118], [0.000, 0.000, 0.000]]}

=====

{"formula": "TcAg2Pd2", "functional": "PBE", "state": "optimized geometry", "e_tot_ev_per_atom": -4.73, "polymorph_energy_ev_per_fu": 0.00, "total_magnetization_mub_per_atom": 0.0000, "lattice": [[7.769, 0.000, 0.000], [0.000, 7.769, 0.000], [0.000, 0.000, 2.790]], "species": ["Ag", "Ag", "Ag", "Ag", "Pd", "Pd", "Pd", "Pd", "Tc", "Tc"], "fractional_positions": [[0.671, 0.829, 0.500], [0.829, 0.329, 0.500], [0.329, 0.171, 0.500], [0.171, 0.671, 0.500], [0.627, 0.127, 0.000], [0.127, 0.373, 0.000], [0.873, 0.627, 0.000], [0.373, 0.873, 0.000], [0.000, 0.000, 0.000], [0.500, 0.500, 0.000]]}

=====

{"formula": "TcAg2Pd2", "functional": "PBE", "state": "optimized geometry", "e_tot_ev_per_atom": -4.66, "polymorph_energy_ev_per_fu": 0.35, "total_magnetization_mub_per_atom": 0.7236, "lattice": [[3.673, 0.000, 0.000], [0.000, 3.673, 0.000], [1.836, 1.836, 6.834]], "species": ["Pd", "Pd", "Ag", "Ag", "Tc"], "fractional_positions": [[0.406, 0.406, 0.188], [0.594, 0.594, 0.812], [0.750, 0.250, 0.500], [0.250, 0.750, 0.500], [0.000, 0.000, 0.000]]}

=====

{"formula": "AgTe6Pd3", "functional": "PBE", "state": "optimized geometry", "e_tot_ev_per_atom": -3.94, "total_magnetization_mub_per_atom": 0.0000, "formation_energy_uncorrected_ev_per_atom": -0.2112, "lattice": [[-2.193, 1.344, 6.828], [-6.014, -3.211, 2.599], [0.328, -4.883, 4.965]], "species": ["Te", "Te", "Te", "Te", "Te", "Te", "Pd", "Pd", "Pd", "Ag"], "fractional_positions": [[0.923, 0.539, 0.260], [0.539, 0.277, 0.260], [0.277, 0.923, 0.260], [0.433, 0.738, 0.749], [0.738, 0.080, 0.749], [0.080, 0.433, 0.749], [0.339, 0.339, 0.983], [0.662, 0.662, 0.013], [0.145, 0.145, 0.564], [0.863, 0.863, 0.411]]}

=====

{"formula": "AgTe2Pd2", "functional": "PBE", "state": "optimized geometry", "e_tot_ev_per_atom": -4.11, "polymorph_energy_ev_per_fu": 0.00, "total_magnetization_mub_per_atom": 0.0000, "formation_energy_uncorrected_ev_per_atom": -0.2017, "lattice": [[4.694, 0.040, 0.125], [2.383, 6.974, -1.037], [2.568, -1.559, 7.022]], "species": ["Te", "Te", "Te", "Te", "Pd", "Pd", "Pd", "Pd", "Ag", "Ag"], "fractional_positions": [[0.649, 0.228, 0.432], [0.351, 0.772, 0.568], [0.354, 0.272, 0.069], [0.646, 0.728, 0.931], [0.321, 0.508, 0.822], [0.326, 0.008, 0.320], [0.674, 0.992, 0.680], [0.679, 0.492, 0.178], [0.001, 0.750, 0.251], [0.999, 0.250, 0.749]]}

=====

{"formula": "AgTePd2", "functional": "PBE", "state": "optimized geometry", "e_tot_ev_per_atom": -4.21, "total_magnetization_mub_per_atom": 0.0000, "formation_energy_uncorrected_ev_per_atom": -0.1181, "lattice": [[3.454, 0.000, 0.000], [0.000, 3.454, 0.000], [0.000, 0.000, 6.118]], "species": ["Ag", "Pd", "Pd", "Te"], "fractional_positions": [[0.500, 0.500, 0.500], [0.000, 0.000, 0.247], [0.000, 0.000, 0.753], [0.500, 0.500, 0.000]]}